No. 1
An optimized crystal structure of As3OsSe, computed with PBE. Values from VASP.

## Properties
Crystal system: cubic

Quantum ESPRESSO input file:
```
&SYSTEM
  ibrav = 0, nat = 5, ntyp = 3
/
ATOMIC_SPECIES
As 74.92 As.upf
Os 190.23 Os.upf
Se 78.96 Se.upf
CELL_PARAMETERS angstrom
4.8038 0.0000 0.0000
0.0000 4.8038 0.0000
0.0000 0.0000 4.8038
ATOMIC_POSITIONS crystal
As 0.0000 0.0000 0.5000
As 0.0000 0.5000 0.0000
As 0.5000 0.0000 0.0000
Os 0.0000 0.0000 0.0000
Se 0.5000 0.5000 0.5000
```


No. 2
An optimized crystal structure of SiAs2OsSe, computed with PBE. Values from VASP.

## Properties
Crystal system: tetragonal

Quantum ESPRESSO input file:
```
&SYSTEM
  ibrav = 0, nat = 5, ntyp = 4
/
ATOMIC_SPECIES
Si 28.09 Si.upf
As 74.92 As.upf
Os 190.23 Os.upf
Se 78.96 Se.upf
CELL_PARAMETERS angstrom
4.6374 0.0000 0.0000
0.0000 4.6374 0.0000
0.0000 0.0000 5.4713
ATOMIC_POSITIONS crystal
Si 0.0000 0.0000 0.0000
As 0.0000 0.5000 0.5000
As 0.5000 0.0000 0.5000
Os 0.5000 0.5000 0.5000
Se 0.5000 0.5000 0.0000
```


No. 3
An optimized crystal structure of SiAs2OsSe, computed with PBE. Values from VASP.

## Properties
Crystal system: tetragonal

Quantum ESPRESSO input file:
```
&SYSTEM
  ibrav = 0, nat = 5, ntyp = 4
/
ATOMIC_SPECIES
Si 28.09 Si.upf
As 74.92 As.upf
Os 190.23 Os.upf
Se 78.96 Se.upf
CELL_PARAMETERS angstrom
4.5707 0.0000 0.0000
0.0000 4.5707 0.0000
0.0000 0.0000 4.6261
ATOMIC_POSITIONS crystal
Si 0.0000 0.0000 0.0000
As 0.0000 0.5000 0.0000
As 0.5000 0.0000 0.0000
Os 0.5000 0.5000 0.5000
Se 0.0000 0.0000 0.5000
```


| no. | ΔE_f (raw) (eV/atom) |
| --- | --- |
| 1 | 0.625 |
| 2 | 0.844 |
| 3 | 1.302 |